Entry from the Alexandria database: a crystal of ScTl2Ir relaxed with PBEsol (SCAN).

Structure (CIF):
```
data_ScTl2Ir
_chemical_formula_sum 'Sc1 Tl2 Ir1'
_cell_length_a 4.198
_cell_length_b 4.198
_cell_length_c 4.468
_cell_angle_alpha 90.00
_cell_angle_beta 90.00
_cell_angle_gamma 90.00
_space_group_name_H-M_alt 'P 1'
_space_group_IT_number 1
loop_
_space_group_symop_operation_xyz
'x,y,z'
loop_
_atom_site_label
_atom_site_fract_x
_atom_site_fract_y
_atom_site_fract_z
Sc1 0.000 0.000 0.000
Tl1 0.000 0.500 0.500
Tl2 0.500 0.000 0.500
Ir1 0.500 0.500 0.000
```

Symmetry ... P4/mmm (123)
Magnetic moment ... 0.0 Bohr magnetons per cell
Energy of formation ... -0.0267 eV/atom
Density of states at the Fermi level ... 2.34 states/eV/f.u.
Final energy ... -57.540 eV/atom

=====

Entry from the Alexandria database: a crystal of ZnCd2Cu relaxed with PBEsol (SCAN).

Structure (CIF):
```
data_ZnCd2Cu
_chemical_formula_sum 'Zn1 Cd2 Cu1'
_cell_length_a 5.639
_cell_length_b 5.639
_cell_length_c 5.639
_cell_angle_alpha 149.58
_cell_angle_beta 132.46
_cell_angle_gamma 57.49
_space_group_name_H-M_alt 'P 1'
_space_group_IT_number 1
loop_
_space_group_symop_operation_xyz
'x,y,z'
loop_
_atom_site_label
_atom_site_fract_x
_atom_site_fract_y
_atom_site_fract_z
Zn1 0.000 0.000 0.000
Cd1 0.279 0.779 0.500
Cd2 0.565 0.565 0.000
Cu1 0.798 0.298 0.500
```

Symmetry ... Imm2 (44)
Magnetic moment ... 0.0 Bohr magnetons per cell
Energy of formation ... 0.0642 eV/atom
Density of states at the Fermi level ... 0.90 states/eV/f.u.
Final energy ... -22.322 eV/atom

=====

Entry from the Alexandria database: a crystal of TbGe2Rh2 relaxed with PBEsol (SCAN).

Structure (CIF):
```
data_TbGe2Rh2
_chemical_formula_sum 'Tb1 Ge2 Rh2'
_cell_length_a 5.879
_cell_length_b 5.879
_cell_length_c 5.879
_cell_angle_alpha 139.45
_cell_angle_beta 139.45
_cell_angle_gamma 58.68
_space_group_name_H-M_alt 'P 1'
_space_group_IT_number 1
loop_
_space_group_symop_operation_xyz
'x,y,z'
loop_
_atom_site_label
_atom_site_fract_x
_atom_site_fract_y
_atom_site_fract_z
Tb1 0.000 0.000 0.000
Ge1 0.379 0.379 0.000
Ge2 0.621 0.621 0.000
Rh1 0.250 0.750 0.500
Rh2 0.750 0.250 0.500
```

Symmetry ... I4/mmm (139)
Magnetic moment ... 0.0 Bohr magnetons per cell
Energy of formation ... -1.0459 eV/atom
Density of states at the Fermi level ... 1.99 states/eV/f.u.
Final energy ... -31.542 eV/atom

=====

Entry from the Alexandria database: a crystal of NaCd3Os relaxed with PBEsol (SCAN).

Structure (CIF):
```
data_NaCd3Os
_chemical_formula_sum 'Na1 Cd3 Os1'
_cell_length_a 4.720
_cell_length_b 4.720
_cell_length_c 4.720
_cell_angle_alpha 90.00
_cell_angle_beta 90.00
_cell_angle_gamma 90.00
_space_group_name_H-M_alt 'P 1'
_space_group_IT_number 1
loop_
_space_group_symop_operation_xyz
'x,y,z'
loop_
_atom_site_label
_atom_site_fract_x
_atom_site_fract_y
_atom_site_fract_z
Na1 0.000 0.000 0.000
Cd1 0.000 0.000 0.500
Cd2 0.000 0.500 0.000
Cd3 0.500 0.000 0.000
Os1 0.500 0.500 0.500
```

Symmetry ... Pm-3m (221)
Magnetic moment ... 0.0 Bohr magnetons per cell
Energy of formation ... 1.7326 eV/atom
Density of states at the Fermi level ... 2.66 states/eV/f.u.
Final energy ... -31.735 eV/atom

=====

Entry from the Alexandria database: a crystal of Sr2TlI5 relaxed with PBEsol (SCAN).

Structure (CIF):
```
data_Sr2TlI5
_chemical_formula_sum 'Sr8 Tl4 I20'
_cell_length_a 9.757
_cell_length_b 8.836
_cell_length_c 14.113
_cell_angle_alpha 90.00
_cell_angle_beta 90.18
_cell_angle_gamma 90.00
_space_group_name_H-M_alt 'P 1'
_space_group_IT_number 1
loop_
_space_group_symop_operation_xyz
'x,y,z'
loop_
_atom_site_label
_atom_site_fract_x
_atom_site_fract_y
_atom_site_fract_z
Sr1 0.002 0.028 0.179
Sr2 0.002 0.472 0.679
Sr3 0.252 0.078 0.494
Sr4 0.252 0.422 0.994
Sr5 0.748 0.578 0.006
Sr6 0.748 0.922 0.506
Sr7 0.998 0.528 0.321
Sr8 0.998 0.972 0.821
Tl1 0.499 0.028 0.178
Tl2 0.499 0.472 0.678
Tl3 0.501 0.528 0.322
Tl4 0.501 0.972 0.822
I1 0.043 0.665 0.098
I2 0.043 0.835 0.598
I3 0.228 0.038 0.998
I4 0.228 0.462 0.498
I5 0.229 0.665 0.816
I6 0.229 0.835 0.316
I7 0.236 0.191 0.719
I8 0.236 0.309 0.219
I9 0.458 0.668 0.095
I10 0.458 0.832 0.595
I11 0.542 0.168 0.405
I12 0.542 0.332 0.905
I13 0.764 0.691 0.781
I14 0.764 0.809 0.281
I15 0.771 0.165 0.684
I16 0.771 0.335 0.184
I17 0.772 0.538 0.502
I18 0.772 0.962 0.002
I19 0.957 0.165 0.402
I20 0.957 0.335 0.902
```

Symmetry ... P2_1/c (14)
Magnetic moment ... 0.0 Bohr magnetons per cell
Energy relative to the elements, uncorrected ... -151 kJ/mol of atoms
Density of states at the Fermi level ... 0.00 states/eV/f.u.
Final energy ... -39.145 eV/atom

=====

Entry from the Alexandria database: a crystal of AsS3I relaxed with PBEsol (SCAN).

Structure (CIF):
```
data_AsS3I
_chemical_formula_sum 'As1 S3 I1'
_cell_length_a 4.742
_cell_length_b 4.742
_cell_length_c 4.742
_cell_angle_alpha 90.00
_cell_angle_beta 90.00
_cell_angle_gamma 90.00
_space_group_name_H-M_alt 'P 1'
_space_group_IT_number 1
loop_
_space_group_symop_operation_xyz
'x,y,z'
loop_
_atom_site_label
_atom_site_fract_x
_atom_site_fract_y
_atom_site_fract_z
As1 0.000 0.000 0.000
S1 0.000 0.000 0.500
S2 0.000 0.500 0.000
S3 0.500 0.000 0.000
I1 0.500 0.500 0.500
```

Symmetry ... Pm-3m (221)
Magnetic moment ... 0.0 Bohr magnetons per cell
Energy relative to the elements, uncorrected ... 65 kJ/mol of atoms
Density of states at the Fermi level ... 4.59 states/eV/f.u.
Final energy ... -16.487 eV/atom

=====

Entry from the Alexandria database: a crystal of ZrSc2In relaxed with PBEsol (SCAN).

Structure (CIF):
```
data_ZrSc2In
_chemical_formula_sum 'Zr1 Sc2 In1'
_cell_length_a 5.551
_cell_length_b 5.551
_cell_length_c 5.551
_cell_angle_alpha 134.12
_cell_angle_beta 134.12
_cell_angle_gamma 66.90
_space_group_name_H-M_alt 'P 1'
_space_group_IT_number 1
loop_
_space_group_symop_operation_xyz
'x,y,z'
loop_
_atom_site_label
_atom_site_fract_x
_atom_site_fract_y
_atom_site_fract_z
Zr1 0.000 0.000 0.000
Sc1 0.250 0.750 0.500
Sc2 0.500 0.500 0.000
In1 0.750 0.250 0.500
```

Symmetry ... I-4m2 (119)
Magnetic moment ... 1.1 Bohr magnetons per cell
Energy of formation ... -0.3317 eV/atom
Density of states at the Fermi level ... 2.92 states/eV/f.u.
Final energy ... -23.472 eV/atom

=====

Entry from the Alexandria database: a crystal of Sr2CaIr relaxed with PBEsol (SCAN).

Structure (CIF):
```
data_Sr2CaIr
_chemical_formula_sum 'Sr2 Ca1 Ir1'
_cell_length_a 6.024
_cell_length_b 6.024
_cell_length_c 6.991
_cell_angle_alpha 114.81
_cell_angle_beta 114.81
_cell_angle_gamma 38.35
_space_group_name_H-M_alt 'P 1'
_space_group_IT_number 1
loop_
_space_group_symop_operation_xyz
'x,y,z'
loop_
_atom_site_label
_atom_site_fract_x
_atom_site_fract_y
_atom_site_fract_z
Sr1 0.000 0.000 0.000
Sr2 0.176 0.176 0.679
Ca1 0.829 0.829 0.371
Ir1 0.460 0.460 0.670
```

Symmetry ... Cm (8)
Relative energy among the computed polymorphs ... 0.000 eV/atom
Magnetic moment ... 0.0 Bohr magnetons per cell
Energy of formation ... -0.1324 eV/atom
Density of states at the Fermi level ... 2.16 states/eV/f.u.
Final energy ... -31.461 eV/atom

=====

Question: Which value of density of states at the Fermi level does entry 4 give?
Answer: 2.66 states/eV/f.u.